VASP calculation (PBE) on crystalline Fe3ReI at its relaxed geometry.

Geometry as POSCAR:
```
Fe3ReI
1.0
4.437 0.000 0.000
0.000 4.437 0.000
0.000 0.000 4.437
Re Fe I
1 3 1
Cartesian
2.218 2.218 2.218
0.000 0.000 2.218
0.000 2.218 0.000
2.218 0.000 0.000
0.000 0.000 0.000
```

Uncorrected formation energy (eV/atom): 2.469
Spin magnetization (μB/f.u.): 0.0
SG: Pm-3m (221)
Fermi-level density of states (states/eV/cell): 16.147
VASP energy (eV/atom): -5.408
Polymorph energy (0 for the lowest one) (meV per atom): 962


VASP calculation (PBE) on crystalline Fe2ReRhI at its relaxed geometry.

Geometry as POSCAR:
```
Fe2ReRhI
1.0
-2.478 1.576 3.599
-2.258 -4.407 0.375
3.313 -1.449 2.915
Re I Fe Rh
1 1 2 1
Cartesian
-0.711 -2.140 3.445
-1.129 -2.204 0.188
-1.239 0.788 1.800
1.657 -0.725 1.458
0.000 0.000 0.000
```

Uncorrected formation energy (eV/atom): 1.931
Spin magnetization (μB/f.u.): 10.0
SG: P4/mmm (123)
Fermi-level density of states (states/eV/cell): 6.531
VASP energy (eV/atom): -5.724


VASP calculation (PBE) on crystalline FeReS2I at its relaxed geometry.

Geometry as POSCAR:
```
FeReS2I
1.0
-0.346 2.979 3.044
-3.966 2.129 -2.535
-2.716 -2.506 2.144
S Fe Re I
2 1 1 1
Cartesian
-0.173 1.490 1.522
-1.358 -1.253 1.072
0.000 0.000 0.000
-1.983 1.065 -1.267
-3.514 1.301 1.327
```

Uncorrected formation energy (eV/atom): 1.102
Spin magnetization (μB/f.u.): 2.3
SG: P4/mmm (123)
Fermi-level density of states (states/eV/cell): 9.821
VASP energy (eV/atom): -5.041


VASP calculation (PBE) on crystalline FeReTeI2 at its relaxed geometry.

Geometry as POSCAR:
```
FeReTeI2
1.0
-2.694 4.915 -0.312
-4.858 -2.594 1.092
0.733 0.717 4.966
Fe I Te Re
1 2 1 1
Cartesian
-3.410 1.519 2.872
-2.429 -1.297 0.546
-1.347 2.457 -0.156
0.366 0.359 2.483
0.000 0.000 0.000
```

Uncorrected formation energy (eV/atom): 1.252
Spin magnetization (μB/f.u.): 4.5
SG: P4/mmm (123)
Fermi-level density of states (states/eV/cell): 13.370
VASP energy (eV/atom): -4.178
Polymorph energy (0 for the lowest one) (meV per atom): 0


VASP calculation (PBE) on crystalline FeReTe2I at its relaxed geometry.

Geometry as POSCAR:
```
FeReTe2I
1.0
-0.298 -1.434 4.614
-4.428 -1.771 -0.836
1.992 -4.396 -1.238
Te Fe Re I
2 1 1 1
Cartesian
-0.149 -0.717 2.307
-2.214 -0.885 -0.418
0.000 0.000 0.000
-1.367 -3.800 1.270
0.996 -2.198 -0.619
```

Uncorrected formation energy (eV/atom): 1.516
Spin magnetization (μB/f.u.): 0.3
SG: P4/mmm (123)
Fermi-level density of states (states/eV/cell): 6.824
VASP energy (eV/atom): -4.233
Polymorph energy (0 for the lowest one) (meV per atom): 323


VASP calculation (PBE) on crystalline FeReTe2I at its relaxed geometry.

Geometry as POSCAR:
```
FeReTe2I
1.0
-2.875 2.777 3.251
-3.949 -0.221 -3.303
-1.831 -4.837 2.513
Te I Fe Re
2 1 1 1
Cartesian
-1.974 -0.111 -1.651
-1.438 1.389 1.626
-0.915 -2.419 1.257
-4.327 -1.141 1.231
0.000 0.000 0.000
```

Uncorrected formation energy (eV/atom): 1.193
Spin magnetization (μB/f.u.): 3.6
SG: P4/mmm (123)
Fermi-level density of states (states/eV/cell): 10.714
VASP energy (eV/atom): -4.556
Polymorph energy (0 for the lowest one) (meV per atom): 0


VASP calculation (PBE) on crystalline FeReTeI2 at its relaxed geometry.

Geometry as POSCAR:
```
FeReTeI2
1.0
-3.882 0.807 3.051
-3.045 -2.229 -3.284
0.817 -4.340 2.187
Te I Fe Re
1 2 1 1
Cartesian
0.408 -2.170 1.094
-1.941 0.404 1.526
-1.523 -1.114 -1.642
0.000 0.000 0.000
-3.055 -2.880 0.977
```

Uncorrected formation energy (eV/atom): 1.662
Spin magnetization (μB/f.u.): 1.9
SG: P4/mmm (123)
Fermi-level density of states (states/eV/cell): 7.458
VASP energy (eV/atom): -3.769
Polymorph energy (0 for the lowest one) (meV per atom): 409


VASP calculation (PBE) on crystalline Ti2FeReI at its relaxed geometry.

Geometry as POSCAR:
```
Ti2FeReI
1.0
-4.556 1.069 -1.310
-1.260 -4.065 1.065
-0.954 1.483 4.528
Ti Re I Fe
2 1 1 1
Cartesian
-2.278 0.535 -0.655
-0.477 0.741 2.264
-3.385 -0.757 2.142
0.000 0.000 0.000
-0.630 -2.033 0.533
```

Uncorrected formation energy (eV/atom): 1.747
Spin magnetization (μB/f.u.): 1.1
SG: P4/mmm (123)
Fermi-level density of states (states/eV/cell): 11.000
VASP energy (eV/atom): -5.903